Sr2MgCd4Hg3 after structural relaxation. Source: Alexandria via LeMat-Bulk, functional PBE.

Cell lengths 4.578, 4.578, 13.079 Å; angles 90.00, 90.00, 90.00 degrees
Fractional coordinates of all 10 atoms:
Sr1 0.000 0.500 0.244
Sr2 0.500 0.000 0.756
Mg1 0.000 0.000 0.500
Cd1 0.000 0.000 0.000
Cd2 0.000 0.500 0.641
Cd3 0.500 0.000 0.359
Cd4 0.500 0.500 0.000
Hg1 0.000 0.500 0.856
Hg2 0.500 0.000 0.144
Hg3 0.500 0.500 0.500

SG	P-4m2 (115)
energy relative to the elements	-0.301	eV/atom
E_tot	-1.254	eV/atom